First-principles (PBE) data for a relaxed EuAl2Sn crystal, as listed in Alexandria via LeMat-Bulk.

Results
ΔH_f (0 K): -0.298 eV per atom
Total energy: -5.738 eV per atom
M_tot: 1.71 μB/atom
Mass density: 5.98 Mg/m³

Lattice parameters (Å, degrees): 4.4962 4.4792 4.4792 90.00 90.00 90.00
Last column: magnetic moment on the atom in μB.
Atoms (fractional coordinates):
Eu1 0.5000 0.5000 0.5000  6.70
Sn1 0.5000 0.0000 0.0000  -0.03
Al1 0.0000 0.0000 0.5000  -0.01
Al2 0.0000 0.5000 0.0000  -0.01